Material: UHIr
Method: DFT, PBE
State: relaxed

Lattice parameters (Å, degrees): 3.7927 3.7927 3.6539 90.00 90.00 120.00
Space group P3m1 (No. 156)
Asymmetric unit:
U1 0.0000 0.0000 0.0000
H1 0.3333 0.6667 0.0027
Ir1 0.6667 0.3333 0.5008

Properties
* total magnetization: 1.58 μB per formula unit
* DFT total energy: -7.97 eV/atom
* excess energy over the best structure of this formula in the dataset: 0 meV/atom